No. 1
The following is a PBE calculation of a relaxed PuCu2Pd8 crystal, from Alexandria.

Properties
Energy of formation in kcal/mol of atoms: -5.75
Total DFT energy (no corrections) in eV/atom: -6.074

a b c (Å): 4.0910 6.2888 7.3287
angles (deg): 105.86 106.21 90.00
Site moments in Bohr magnetons follow the coordinates.
Atoms (fractional coordinates):
Pd: 0.1442 0.2046 0.2885  -0.08
Cu: 0.7723 0.3588 0.5445  -0.01
Pd: 0.4010 0.5328 0.8020  -0.07
Pd: 0.5990 0.4672 0.1980  -0.07
Pd: 0.3163 0.0793 0.6325  -0.09
Pd: 0.6837 0.9207 0.3675  -0.09
Pd: 0.8558 0.7954 0.7115  -0.08
Pd: 0.0481 0.7260 0.0962  -0.09
Pu: 0.5000 0.0000 0.0000  4.55
Pd: 0.9519 0.2740 0.9038  -0.09
Cu: 0.2277 0.6412 0.4555  -0.01

---

No. 2
The following is a PBE calculation of a relaxed K2MgAu2 crystal, from Alexandria.

Properties
Energy of formation in kcal/mol of atoms: 3.04
Total DFT energy (no corrections) in eV/atom: -1.937
Distance to the lowest polymorph of the same formula in meV per atom: 375

a b c (Å): 5.9416 5.9416 6.8472
angles (deg): 64.29 64.29 90.00
Atoms (fractional coordinates):
Mg: 0.0000 0.0000 0.0000
K: 0.3469 0.3469 0.3063
Au: 0.7500 0.2500 0.5000
K: 0.6531 0.6531 0.6937
Au: 0.2500 0.7500 0.5000

---

No. 3
The following is a PBE calculation of a relaxed Al2SiHg crystal, from Alexandria.

Properties
ΔE_f (raw) in eV per atom: 0.3048
Total DFT energy (no corrections) in eV/atom: -2.998
Distance to the lowest polymorph of the same formula in meV per atom: 131

a b c (Å): 6.6315 5.0170 3.0079
angles (deg): 83.73 73.25 125.06
Atoms (fractional coordinates):
Al: 0.0000 0.0000 0.0000
Si: 0.5000 0.5000 0.0000
Al: 0.5000 0.0000 0.5000
Hg: 0.0000 0.5000 0.5000

---

No. 4
The following is a PBE calculation of a relaxed Na3GaRe crystal, from Alexandria.

Properties
Energy of formation in kcal/mol of atoms: 33.73
Total DFT energy (no corrections) in eV/atom: -2.424
Distance to the lowest polymorph of the same formula in meV per atom: 0

a b c (Å): 5.4666 5.4666 5.4666
angles (deg): 90.00 90.00 90.00
Site moments in Bohr magnetons follow the coordinates.
Atoms (fractional coordinates):
Na: 0.5000 0.0000 0.0000  0.00
Re: 0.5000 0.5000 0.5000  3.69
Na: 0.0000 0.0000 0.5000  -0.03
Na: 0.0000 0.5000 0.0000  -0.01
Ga: 0.0000 0.0000 0.0000  -0.15

---

No. 5
The following is a PBE calculation of a relaxed Ni2RuCl crystal, from Alexandria.

Properties
ΔE_f (raw) in eV per atom: 0.4460
Total DFT energy (no corrections) in eV/atom: -5.225
Distance to the lowest polymorph of the same formula in meV per atom: 177

a b c (Å): 2.9478 2.9478 6.2508
angles (deg): 90.00 90.00 90.00
Site moments in Bohr magnetons follow the coordinates.
Atoms (fractional coordinates):
Ni: 0.0000 0.0000 0.0330  0.33
Cl: 0.5000 0.5000 0.7636  0.03
Ru: 0.0000 0.0000 0.4572  0.53
Ni: 0.5000 0.5000 0.2462  0.26

---

No. 6
The following is a PBE calculation of a relaxed FeCuSe2 crystal, from Alexandria.

Properties
ΔE_f (raw) in eV per atom: 0.3032
Total DFT energy (no corrections) in eV/atom: -4.579

a b c (Å): 4.3969 4.3969 4.3969
angles (deg): 60.00 60.00 60.00
Site moments in Bohr magnetons follow the coordinates.
Atoms (fractional coordinates):
Cu: 0.5000 0.5000 0.5000  -0.08
Se: 0.7500 0.7500 0.7500  -0.12
Se: 0.2500 0.2500 0.2500  -0.12
Fe: 0.0000 0.0000 0.0000  1.52

---

No. 7
The following is a PBE calculation of a relaxed SiHF crystal, from Alexandria.

Properties
Total DFT energy (no corrections) in eV/atom: -4.783
Distance to the lowest polymorph of the same formula in meV per atom: 3

a b c (Å): 5.3942 3.9911 9.9488
angles (deg): 90.00 90.80 90.00
Atoms (fractional coordinates):
H: 0.3826 0.5000 0.2408
F: 0.9401 0.0000 0.5601
Si: 0.0419 0.0000 0.4069
H: 0.4684 0.5000 0.4821
H: 0.4684 0.0000 0.9821
H: 0.3826 0.0000 0.7408
F: 0.7953 0.5000 0.8116
Si: 0.2683 0.5000 0.3764
Si: 0.2683 0.0000 0.8764
F: 0.7953 0.0000 0.3116
F: 0.9401 0.5000 0.0601
Si: 0.0419 0.5000 0.9069

---

total DFT energy (no corrections) of number 6 (FeCuSe2)? -4.579 eV/atom